Entry 1:
# PBE IrOsPt2, optimized geometry
# total moment = 0.0 μB/f.u.
# ΔE to the lowest computed polymorph = 0.344 eV/atom
# DOS at the Fermi energy = 10.6 states/eV/cell
# ΔH_f (0 K) = 1.32 eV per formula unit
data_IrOsPt2
_chemical_formula_sum 'Ir2 Os2 Pt4'
_symmetry_space_group_name_H-M 'C m m m'
_symmetry_Int_Tables_number 65
_symmetry_space_group_name_Hall '-C 2 2'
_cell_length_a 2.7078
_cell_length_b 4.7537
_cell_length_c 9.5519
_cell_angle_alpha 90.00
_cell_angle_beta 90.00
_cell_angle_gamma 90.00
loop_
_atom_site_label
_atom_site_type_symbol
_atom_site_fract_x
_atom_site_fract_y
_atom_site_fract_z
Ir1 Ir 0.0000 0.0000 0.0000
Os1 Os 0.0000 0.0000 0.5000
Pt1 Pt 0.0000 0.5000 0.2509


Entry 2:
# PBE IrOsPt2, optimized geometry
# total moment = 0.0 μB/f.u.
# ΔE to the lowest computed polymorph = 0.270 eV/atom
# DOS at the Fermi energy = 9.6 states/eV/cell
# ΔH_f (0 K) = 1.02 eV per formula unit
data_IrOsPt2
_chemical_formula_sum 'Ir2 Os2 Pt4'
_symmetry_space_group_name_H-M 'C m m 2'
_symmetry_Int_Tables_number 35
_symmetry_space_group_name_Hall 'C 2 -2'
_cell_length_a 2.7080
_cell_length_b 4.7464
_cell_length_c 9.5997
_cell_angle_alpha 90.00
_cell_angle_beta 90.00
_cell_angle_gamma 90.00
loop_
_atom_site_label
_atom_site_type_symbol
_atom_site_fract_x
_atom_site_fract_y
_atom_site_fract_z
Ir1 Ir 0.0000 0.0000 0.0000
Os1 Os 0.0000 0.5000 0.7647
Pt1 Pt 0.0000 0.0000 0.5135
Pt2 Pt 0.0000 0.5000 0.2548


Entry 3:
# PBE Ir2OsPt, optimized geometry
# total moment = 0.0 μB/f.u.
# ΔE to the lowest computed polymorph = 0.036 eV/atom
# DOS at the Fermi energy = 16.7 states/eV/cell
# ΔH_f (0 K) = 0.10 eV per formula unit
data_Ir2OsPt
_chemical_formula_sum 'Ir6 Os3 Pt3'
_symmetry_space_group_name_H-M 'R -3 m'
_symmetry_Int_Tables_number 166
_symmetry_space_group_name_Hall '-R 3 2"'
_cell_length_a 2.7567
_cell_length_b 2.7567
_cell_length_c 26.9570
_cell_angle_alpha 90.00
_cell_angle_beta 90.00
_cell_angle_gamma 120.00
loop_
_atom_site_label
_atom_site_type_symbol
_atom_site_fract_x
_atom_site_fract_y
_atom_site_fract_z
Ir1 Ir 0.0000 0.0000 0.2464
Os1 Os 0.0000 0.0000 0.5000
Pt1 Pt 0.0000 0.0000 0.0000


Entry 4:
# PBE Ir4OsPt, optimized geometry
# total moment = 0.8 μB/f.u.
# ΔE to the lowest computed polymorph = 0.701 eV/atom
# DOS at the Fermi energy = 40.6 states/eV/cell
# ΔH_f (0 K) = 4.46 eV per formula unit
data_Ir4OsPt
_chemical_formula_sum 'Ir16 Os4 Pt4'
_symmetry_space_group_name_H-M 'F -4 3 m'
_symmetry_Int_Tables_number 216
_symmetry_space_group_name_Hall 'F -4 2 3'
_cell_length_a 7.2332
_cell_length_b 7.2332
_cell_length_c 7.2332
_cell_angle_alpha 90.00
_cell_angle_beta 90.00
_cell_angle_gamma 90.00
loop_
_atom_site_label
_atom_site_type_symbol
_atom_site_fract_x
_atom_site_fract_y
_atom_site_fract_z
Ir1 Ir 0.1249 0.1249 0.1249
Os1 Os 0.2500 0.2500 0.7500
Pt1 Pt 0.0000 0.0000 0.5000


Entry 5:
# PBE IrOsPt2, optimized geometry
# total moment = 0.0 μB/f.u.
# ΔE to the lowest computed polymorph = 0.171 eV/atom
# DOS at the Fermi energy = 4.9 states/eV/cell
# ΔH_f (0 K) = 0.62 eV per formula unit
data_IrOsPt2
_chemical_formula_sum 'Ir1 Os1 Pt2'
_symmetry_space_group_name_H-M 'P 4/m m m'
_symmetry_Int_Tables_number 123
_symmetry_space_group_name_Hall '-P 4 2'
_cell_length_a 2.7731
_cell_length_b 2.7731
_cell_length_c 7.8054
_cell_angle_alpha 90.00
_cell_angle_beta 90.00
_cell_angle_gamma 90.00
loop_
_atom_site_label
_atom_site_type_symbol
_atom_site_fract_x
_atom_site_fract_y
_atom_site_fract_z
Ir1 Ir 0.0000 0.0000 0.0000
Os1 Os 0.0000 0.0000 0.5000
Pt1 Pt 0.5000 0.5000 0.2549


Entry 6:
# PBE Ir2OsPt2, optimized geometry
# total moment = 0.0 μB/f.u.
# ΔE to the lowest computed polymorph = 0.000 eV/atom
# DOS at the Fermi energy = 12.1 states/eV/cell
# ΔH_f (0 K) = 0.44 eV per formula unit
data_Ir2OsPt2
_chemical_formula_sum 'Ir4 Os2 Pt4'
_symmetry_space_group_name_H-M 'C 1 2/m 1'
_symmetry_Int_Tables_number 12
_symmetry_space_group_name_Hall '-C 2y'
_cell_length_a 8.7121
_cell_length_b 3.8978
_cell_length_c 6.1770
_cell_angle_alpha 90.00
_cell_angle_beta 134.77
_cell_angle_gamma 90.00
loop_
_atom_site_label
_atom_site_type_symbol
_atom_site_fract_x
_atom_site_fract_y
_atom_site_fract_z
Ir1 Ir 0.2036 0.0000 0.0977
Os1 Os 0.0000 0.0000 0.5000
Pt1 Pt 0.1005 0.5000 0.3024


Entry 7:
# PBE Ir2OsPt, optimized geometry
# total moment = 0.7 μB/f.u.
# ΔE to the lowest computed polymorph = 0.419 eV/atom
# DOS at the Fermi energy = 5.7 states/eV/cell
# ΔH_f (0 K) = 1.63 eV per formula unit
data_Ir2OsPt
_chemical_formula_sum 'Ir2 Os1 Pt1'
_symmetry_space_group_name_H-M 'P m m m'
_symmetry_Int_Tables_number 47
_symmetry_space_group_name_Hall '-P 2 2'
_cell_length_a 2.6912
_cell_length_b 4.7131
_cell_length_c 4.7831
_cell_angle_alpha 90.00
_cell_angle_beta 90.00
_cell_angle_gamma 90.00
loop_
_atom_site_label
_atom_site_type_symbol
_atom_site_fract_x
_atom_site_fract_y
_atom_site_fract_z
Ir1 Ir 0.0000 0.0000 0.0000
Ir2 Ir 0.5000 0.0000 0.5000
Os1 Os 0.0000 0.5000 0.5000
Pt1 Pt 0.5000 0.5000 0.0000


Entry 8:
# PBE Ir3OsPt, optimized geometry
# total moment = 0.0 μB/f.u.
# ΔE to the lowest computed polymorph = 1.664 eV/atom
# DOS at the Fermi energy = 7.4 states/eV/cell
# ΔH_f (0 K) = 9.85 eV per formula unit
data_Ir3OsPt
_chemical_formula_sum 'Ir3 Os1 Pt1'
_symmetry_space_group_name_H-M 'P m -3 m'
_symmetry_Int_Tables_number 221
_symmetry_space_group_name_Hall '-P 4 2 3'
_cell_length_a 4.6849
_cell_length_b 4.6849
_cell_length_c 4.6849
_cell_angle_alpha 90.00
_cell_angle_beta 90.00
_cell_angle_gamma 90.00
loop_
_atom_site_label
_atom_site_type_symbol
_atom_site_fract_x
_atom_site_fract_y
_atom_site_fract_z
Ir1 Ir 0.0000 0.0000 0.5000
Os1 Os 0.0000 0.0000 0.0000
Pt1 Pt 0.5000 0.5000 0.5000


Entry 9:
# PBE Ir2OsPt, optimized geometry
# total moment = 0.5 μB/f.u.
# ΔE to the lowest computed polymorph = 0.354 eV/atom
# DOS at the Fermi energy = 13.1 states/eV/cell
# ΔH_f (0 K) = 1.37 eV per formula unit
data_Ir2OsPt
_chemical_formula_sum 'Ir4 Os2 Pt2'
_symmetry_space_group_name_H-M 'C m m m'
_symmetry_Int_Tables_number 65
_symmetry_space_group_name_Hall '-C 2 2'
_cell_length_a 2.7026
_cell_length_b 4.7371
_cell_length_c 9.4948
_cell_angle_alpha 90.00
_cell_angle_beta 90.00
_cell_angle_gamma 90.00
loop_
_atom_site_label
_atom_site_type_symbol
_atom_site_fract_x
_atom_site_fract_y
_atom_site_fract_z
Ir1 Ir 0.0000 0.0000 0.2431
Os1 Os 0.0000 0.5000 0.0000
Pt1 Pt 0.0000 0.5000 0.5000


Entry 10:
# PBE Ir2OsPt2, optimized geometry
# total moment = 1.5 μB/f.u.
# ΔE to the lowest computed polymorph = 0.718 eV/atom
# DOS at the Fermi energy = 12.6 states/eV/cell
# ΔH_f (0 K) = 4.03 eV per formula unit
data_Ir2OsPt2
_chemical_formula_sum 'Ir4 Os2 Pt4'
_symmetry_space_group_name_H-M 'I 4/m m m'
_symmetry_Int_Tables_number 139
_symmetry_space_group_name_Hall '-I 4 2'
_cell_length_a 3.5689
_cell_length_b 3.5689
_cell_length_c 13.0990
_cell_angle_alpha 90.00
_cell_angle_beta 90.00
_cell_angle_gamma 90.00
loop_
_atom_site_label
_atom_site_type_symbol
_atom_site_fract_x
_atom_site_fract_y
_atom_site_fract_z
Ir1 Ir 0.0000 0.5000 0.2500
Os1 Os 0.0000 0.0000 0.0000
Pt1 Pt 0.0000 0.0000 0.4022


Entry 11:
# PBE IrOsPt2, optimized geometry
# total moment = 0.0 μB/f.u.
# ΔE to the lowest computed polymorph = 0.180 eV/atom
# DOS at the Fermi energy = 9.8 states/eV/cell
# ΔH_f (0 K) = 0.66 eV per formula unit
data_IrOsPt2
_chemical_formula_sum 'Ir2 Os2 Pt4'
_symmetry_space_group_name_H-M 'I 4/m m m'
_symmetry_Int_Tables_number 139
_symmetry_space_group_name_Hall '-I 4 2'
_cell_length_a 3.9062
_cell_length_b 3.9062
_cell_length_c 7.8588
_cell_angle_alpha 90.00
_cell_angle_beta 90.00
_cell_angle_gamma 90.00
loop_
_atom_site_label
_atom_site_type_symbol
_atom_site_fract_x
_atom_site_fract_y
_atom_site_fract_z
Ir1 Ir 0.0000 0.0000 0.0000
Os1 Os 0.0000 0.0000 0.5000
Pt1 Pt 0.0000 0.5000 0.2500


Entry 12:
# PBE Ir2OsPt, optimized geometry
# total moment = 0.0 μB/f.u.
# ΔE to the lowest computed polymorph = 0.679 eV/atom
# DOS at the Fermi energy = 11.5 states/eV/cell
# ΔH_f (0 K) = 2.67 eV per formula unit
data_Ir2OsPt
_chemical_formula_sum 'Ir6 Os3 Pt3'
_symmetry_space_group_name_H-M 'R 3 m'
_symmetry_Int_Tables_number 160
_symmetry_space_group_name_Hall 'R 3 -2"'
_cell_length_a 3.8241
_cell_length_b 3.8241
_cell_length_c 16.6315
_cell_angle_alpha 90.00
_cell_angle_beta 90.00
_cell_angle_gamma 120.00
loop_
_atom_site_label
_atom_site_type_symbol
_atom_site_fract_x
_atom_site_fract_y
_atom_site_fract_z
Ir1 Ir 0.0000 0.0000 0.0000
Ir2 Ir 0.0000 0.0000 0.1543
Os1 Os 0.0000 0.0000 0.4160
Pt1 Pt 0.0000 0.0000 0.5764


Entry 13:
# PBE Ir2OsPt, optimized geometry
# total moment = 0.0 μB/f.u.
# ΔE to the lowest computed polymorph = 0.099 eV/atom
# DOS at the Fermi energy = 4.3 states/eV/cell
# ΔH_f (0 K) = 0.35 eV per formula unit
data_Ir2OsPt
_chemical_formula_sum 'Ir2 Os1 Pt1'
_symmetry_space_group_name_H-M 'P m m 2'
_symmetry_Int_Tables_number 25
_symmetry_space_group_name_Hall 'P 2 -2'
_cell_length_a 2.7518
_cell_length_b 3.8913
_cell_length_c 5.5035
_cell_angle_alpha 90.00
_cell_angle_beta 90.00
_cell_angle_gamma 90.00
loop_
_atom_site_label
_atom_site_type_symbol
_atom_site_fract_x
_atom_site_fract_y
_atom_site_fract_z
Ir1 Ir 0.0000 0.0000 0.0000
Ir2 Ir 0.5000 0.5000 0.2521
Os1 Os 0.0000 0.0000 0.4860
Pt1 Pt 0.5000 0.5000 0.7428


Entry 14:
# PBE IrOsPt2, optimized geometry
# total moment = 0.0 μB/f.u.
# ΔE to the lowest computed polymorph = 0.716 eV/atom
# DOS at the Fermi energy = 18.6 states/eV/cell
# ΔH_f (0 K) = 2.80 eV per formula unit
data_IrOsPt2
_chemical_formula_sum 'Ir4 Os4 Pt8'
_symmetry_space_group_name_H-M 'I -4 2 d'
_symmetry_Int_Tables_number 122
_symmetry_space_group_name_Hall 'I -4 2bw'
_cell_length_a 7.0416
_cell_length_b 7.0416
_cell_length_c 5.3624
_cell_angle_alpha 90.00
_cell_angle_beta 90.00
_cell_angle_gamma 90.00
loop_
_atom_site_label
_atom_site_type_symbol
_atom_site_fract_x
_atom_site_fract_y
_atom_site_fract_z
Ir1 Ir 0.0000 0.0000 0.0000
Os1 Os 0.0000 0.0000 0.5000
Pt1 Pt 0.2404 0.2500 0.6250


Entry 15:
# PBE Ir2OsPt, optimized geometry
# total moment = 0.0 μB/f.u.
# ΔE to the lowest computed polymorph = 0.376 eV/atom
# DOS at the Fermi energy = 10.9 states/eV/cell
# ΔH_f (0 K) = 1.46 eV per formula unit
data_Ir2OsPt
_chemical_formula_sum 'Ir4 Os2 Pt2'
_symmetry_space_group_name_H-M 'C m m 2'
_symmetry_Int_Tables_number 35
_symmetry_space_group_name_Hall 'C 2 -2'
_cell_length_a 2.6908
_cell_length_b 4.7352
_cell_length_c 9.5272
_cell_angle_alpha 90.00
_cell_angle_beta 90.00
_cell_angle_gamma 90.00
loop_
_atom_site_label
_atom_site_type_symbol
_atom_site_fract_x
_atom_site_fract_y
_atom_site_fract_z
Ir1 Ir 0.0000 0.0000 0.0000
Ir2 Ir 0.0000 0.5000 0.2467
Os1 Os 0.0000 0.0000 0.4910
Pt1 Pt 0.0000 0.5000 0.7448


Entry 16:
# PBE Ir5OsPt2, optimized geometry
# total moment = 0.0 μB/f.u.
# DOS at the Fermi energy = 14.3 states/eV/cell
# ΔH_f (0 K) = 0.14 eV per formula unit
data_Ir5OsPt2
_chemical_formula_sum 'Ir10 Os2 Pt4'
_symmetry_space_group_name_H-M 'I 4/m m m'
_symmetry_Int_Tables_number 139
_symmetry_space_group_name_Hall '-I 4 2'
_cell_length_a 3.8859
_cell_length_b 3.8859
_cell_length_c 15.6729
_cell_angle_alpha 90.00
_cell_angle_beta 90.00
_cell_angle_gamma 90.00
loop_
_atom_site_label
_atom_site_type_symbol
_atom_site_fract_x
_atom_site_fract_y
_atom_site_fract_z
Ir1 Ir 0.0000 0.0000 0.0000
Ir2 Ir 0.0000 0.5000 0.1194
Os1 Os 0.0000 0.0000 0.5000
Pt1 Pt 0.0000 0.0000 0.2482


Entry 17:
# PBE IrOsPt2, optimized geometry
# total moment = 0.0 μB/f.u.
# ΔE to the lowest computed polymorph = 0.138 eV/atom
# DOS at the Fermi energy = 9.0 states/eV/cell
# ΔH_f (0 K) = 0.49 eV per formula unit
data_IrOsPt2
_chemical_formula_sum 'Ir2 Os2 Pt4'
_symmetry_space_group_name_H-M 'C 1 2/m 1'
_symmetry_Int_Tables_number 12
_symmetry_space_group_name_Hall '-C 2y'
_cell_length_a 9.1144
_cell_length_b 2.7691
_cell_length_c 4.8211
_cell_angle_alpha 90.00
_cell_angle_beta 99.88
_cell_angle_gamma 90.00
loop_
_atom_site_label
_atom_site_type_symbol
_atom_site_fract_x
_atom_site_fract_y
_atom_site_fract_z
Ir1 Ir 0.0000 0.0000 0.0000
Os1 Os 0.0000 0.5000 0.5000
Pt1 Pt 0.2478 0.0000 0.7452


Entry 18:
# PBE IrOs3Pt, optimized geometry
# total moment = 2.0 μB/f.u.
# ΔE to the lowest computed polymorph = 0.000 eV/atom
# DOS at the Fermi energy = 6.9 states/eV/cell
# ΔH_f (0 K) = 12.40 eV per formula unit
data_IrOs3Pt
_chemical_formula_sum 'Ir1 Os3 Pt1'
_symmetry_space_group_name_H-M 'P m -3 m'
_symmetry_Int_Tables_number 221
_symmetry_space_group_name_Hall '-P 4 2 3'
_cell_length_a 4.6678
_cell_length_b 4.6678
_cell_length_c 4.6678
_cell_angle_alpha 90.00
_cell_angle_beta 90.00
_cell_angle_gamma 90.00
loop_
_atom_site_label
_atom_site_type_symbol
_atom_site_fract_x
_atom_site_fract_y
_atom_site_fract_z
Ir1 Ir 0.0000 0.0000 0.0000
Os1 Os 0.0000 0.0000 0.5000
Pt1 Pt 0.5000 0.5000 0.5000


Entry 19:
# PBE IrOsPt2, optimized geometry
# total moment = 0.0 μB/f.u.
# ΔE to the lowest computed polymorph = 0.101 eV/atom
# DOS at the Fermi energy = 6.6 states/eV/cell
# ΔH_f (0 K) = 0.34 eV per formula unit
data_IrOsPt2
_chemical_formula_sum 'Ir2 Os2 Pt4'
_symmetry_space_group_name_H-M 'I -4 m 2'
_symmetry_Int_Tables_number 119
_symmetry_space_group_name_Hall 'I -4 -2'
_cell_length_a 3.8969
_cell_length_b 3.8969
_cell_length_c 7.8717
_cell_angle_alpha 90.00
_cell_angle_beta 90.00
_cell_angle_gamma 90.00
loop_
_atom_site_label
_atom_site_type_symbol
_atom_site_fract_x
_atom_site_fract_y
_atom_site_fract_z
Ir1 Ir 0.0000 0.0000 0.0000
Os1 Os 0.0000 0.5000 0.2500
Pt1 Pt 0.0000 0.0000 0.5000
Pt2 Pt 0.0000 0.5000 0.7500


Entry 20:
# PBE Ir2OsPt, optimized geometry
# total moment = 0.0 μB/f.u.
# ΔE to the lowest computed polymorph = 0.084 eV/atom
# DOS at the Fermi energy = 7.7 states/eV/cell
# ΔH_f (0 K) = 0.29 eV per formula unit
data_Ir2OsPt
_chemical_formula_sum 'Ir4 Os2 Pt2'
_symmetry_space_group_name_H-M 'I 4/m m m'
_symmetry_Int_Tables_number 139
_symmetry_space_group_name_Hall '-I 4 2'
_cell_length_a 3.8819
_cell_length_b 3.8819
_cell_length_c 7.8020
_cell_angle_alpha 90.00
_cell_angle_beta 90.00
_cell_angle_gamma 90.00
loop_
_atom_site_label
_atom_site_type_symbol
_atom_site_fract_x
_atom_site_fract_y
_atom_site_fract_z
Ir1 Ir 0.0000 0.5000 0.2500
Os1 Os 0.0000 0.0000 0.0000
Pt1 Pt 0.0000 0.0000 0.5000